Compound: Pr3YHo
Source: Alexandria via LeMat-Bulk
Functional: GGA-PBE
Structure: optimized geometry

* offset from the most stable computed form: 0.0 meV/atom
* energy of formation from the pure elements: 32 kJ/mol of formula units
* calculated volume: 692.7 Å³/cell
* spin magnetization: 0.0 μB/f.u.

abc: 11.765 11.765 5.876
angles: 104.44 104.44 62.93
Element x y z (fractional)
Pr  0.060  0.749  0.654
Pr  0.196  0.412  0.555
Pr  0.246  0.564  0.156
Pr  0.251  0.940  0.846
Pr  0.412  0.196  0.055
Pr  0.436  0.754  0.344
Pr  0.564  0.246  0.656
Pr  0.588  0.804  0.945
Pr  0.749  0.060  0.154
Pr  0.754  0.436  0.844
Pr  0.804  0.588  0.445
Pr  0.940  0.251  0.346
Y  0.089  0.302  0.947
Y  0.302  0.089  0.447
Y  0.698  0.911  0.553
Y  0.911  0.698  0.053
Ho  0.089  0.911  0.250
Ho  0.412  0.588  0.750
Ho  0.588  0.412  0.250
Ho  0.911  0.089  0.750